Below is an optimized crystal structure of HfTlZnCo, with properties calculated at the GGA-PBE level.

Computed properties:
* energy above the most stable polymorph in this dataset: 0.0 meV per atom
* final energy: -5.07 eV per atom

a = 4.556 Å, b = 4.556 Å, c = 4.556 Å
α = 60.00°, β = 60.00°, γ = 60.00°
Fractional positions:
1 Tl 0.000 0.000 0.000
2 Hf 0.500 0.500 0.500
3 Co 0.750 0.750 0.750
4 Zn 0.250 0.250 0.250


Below is an optimized crystal structure of TmHf2Co9, with properties calculated at the GGA-PBE level.

Computed properties:
* ΔH_f (0 K): -283 meV/atom
* final energy: -7.65 eV per atom

a = 8.350 Å, b = 8.350 Å, c = 8.350 Å
α = 33.69°, β = 33.69°, γ = 33.69°
Site moments in Bohr magnetons follow the coordinates.
Fractional positions:
1 Co 0.412 0.412 0.922  1.10
2 Co 0.922 0.412 0.412  1.08
3 Co 0.412 0.922 0.412  1.20
4 Co 0.588 0.078 0.588  1.20
5 Co 0.500 0.500 0.500  1.04
6 Co 0.336 0.336 0.336  1.43
7 Co 0.664 0.664 0.664  1.43
8 Co 0.588 0.588 0.078  1.10
9 Co 0.078 0.588 0.588  1.08
10 Hf 0.140 0.140 0.140  -0.32
11 Hf 0.860 0.860 0.860  -0.32
12 Tm 0.000 0.000 0.000  -0.25


Below is an optimized crystal structure of TmHfCo, with properties calculated at the GGA-PBE level.

Computed properties:
* ΔH_f (0 K): 1071 meV/atom
* final energy: -6.11 eV per atom

a = 4.484 Å, b = 4.484 Å, c = 4.484 Å
α = 60.00°, β = 60.00°, γ = 60.00°
Fractional positions:
1 Hf 0.750 0.750 0.750
2 Co 0.250 0.250 0.250
3 Tm 0.000 0.000 0.000


Below is an optimized crystal structure of TmHfZnCo2, with properties calculated at the GGA-PBE level.

Computed properties:
* ΔH_f (0 K): -333 meV/atom
* final energy: -6.31 eV per atom

a = 5.080 Å, b = 5.080 Å, c = 5.080 Å
α = 133.61°, β = 116.71°, γ = 82.00°
Fractional positions:
1 Hf 0.206 0.206 0.000
2 Co 0.786 0.502 0.283
3 Co 0.219 0.502 0.717
4 Zn 0.497 0.997 0.500
5 Tm 0.792 0.792 0.000


Below is an optimized crystal structure of HfUCo, with properties calculated at the GGA-PBE level.

Computed properties:
* energy above the most stable polymorph in this dataset: 0.0 meV per atom
* ΔH_f (0 K): 374 meV/atom
* final energy: -9.08 eV per atom

a = 4.396 Å, b = 4.396 Å, c = 4.396 Å
α = 60.00°, β = 60.00°, γ = 60.00°
Fractional positions:
1 U 0.750 0.750 0.750
2 Co 0.000 0.000 0.000
3 Hf 0.250 0.250 0.250


Below is an optimized crystal structure of HfUCo, with properties calculated at the GGA-PBE level.

Computed properties:
* energy above the most stable polymorph in this dataset: 571.3 meV per atom
* ΔH_f (0 K): 946 meV/atom
* final energy: -8.51 eV per atom

a = 4.394 Å, b = 4.394 Å, c = 4.394 Å
α = 60.00°, β = 60.00°, γ = 60.00°
Fractional positions:
1 U 0.000 0.000 0.000
2 Hf 0.750 0.750 0.750
3 Co 0.250 0.250 0.250


Below is an optimized crystal structure of HfCoW, with properties calculated at the GGA-PBE level.

Computed properties:
* energy above the most stable polymorph in this dataset: 0.0 meV per atom
* ΔH_f (0 K): 335 meV/atom
* final energy: -9.67 eV per atom

a = 4.203 Å, b = 4.203 Å, c = 4.203 Å
α = 60.00°, β = 60.00°, γ = 60.00°
Fractional positions:
1 Hf 0.250 0.250 0.250
2 W 0.750 0.750 0.750
3 Co 0.000 0.000 0.000


Below is an optimized crystal structure of HfCoW2, with properties calculated at the GGA-PBE level.

Computed properties:
* ΔH_f (0 K): 25 meV/atom
* final energy: -10.72 eV per atom

a = 4.482 Å, b = 4.482 Å, c = 4.482 Å
α = 60.00°, β = 60.00°, γ = 60.00°
Site moments in Bohr magnetons follow the coordinates.
Fractional positions:
1 W 0.000 0.000 0.000  0.15
2 W 0.250 0.250 0.250  -0.03
3 Hf 0.500 0.500 0.500  -0.08
4 Co 0.750 0.750 0.750  1.10


Below is an optimized crystal structure of HfCo2W, with properties calculated at the GGA-PBE level.

Computed properties:
* ΔH_f (0 K): 186 meV/atom
* final energy: -9.10 eV per atom

a = 4.309 Å, b = 4.309 Å, c = 4.309 Å
α = 60.00°, β = 60.00°, γ = 60.00°
Fractional positions:
1 Co 0.750 0.750 0.750
2 Co 0.000 0.000 0.000
3 W 0.500 0.500 0.500
4 Hf 0.250 0.250 0.250


Below is an optimized crystal structure of HfZnCoW, with properties calculated at the GGA-PBE level.

Computed properties:
* energy above the most stable polymorph in this dataset: 0.0 meV per atom
* ΔH_f (0 K): 329 meV/atom
* final energy: -7.49 eV per atom

a = 4.455 Å, b = 4.455 Å, c = 4.455 Å
α = 60.00°, β = 60.00°, γ = 60.00°
Fractional positions:
1 Zn 0.000 0.000 0.000
2 Co 0.750 0.750 0.750
3 W 0.250 0.250 0.250
4 Hf 0.500 0.500 0.500


Below is an optimized crystal structure of Y2HfCo2, with properties calculated at the GGA-PBE level.

Computed properties:
* energy above the most stable polymorph in this dataset: 351.0 meV per atom
* ΔH_f (0 K): 649 meV/atom
* final energy: -6.77 eV per atom

a = 4.280 Å, b = 4.280 Å, c = 6.436 Å
α = 109.42°, β = 109.42°, γ = 90.00°
Site moments in Bohr magnetons follow the coordinates.
Fractional positions:
1 Co 0.750 0.250 0.500  0.23
2 Co 0.250 0.750 0.500  0.23
3 Y 0.372 0.372 0.745  0.06
4 Y 0.628 0.628 0.255  0.06
5 Hf 0.000 0.000 0.000  0.42


Below is an optimized crystal structure of Y2HfCo2, with properties calculated at the GGA-PBE level.

Computed properties:
* energy above the most stable polymorph in this dataset: 0.0 meV per atom
* ΔH_f (0 K): 298 meV/atom
* final energy: -7.12 eV per atom

a = 6.361 Å, b = 6.361 Å, c = 6.361 Å
α = 140.79°, β = 140.79°, γ = 56.65°
Fractional positions:
1 Y 0.750 0.250 0.500
2 Y 0.250 0.750 0.500
3 Co 0.593 0.593 0.000
4 Co 0.407 0.407 0.000
5 Hf 0.000 0.000 0.000